Entry from Alexandria: a relaxed ThNi5P2Rh crystal (PBE).

The space group is P4/mmm (No. 123) and the conventional cell measures 3.8911, 3.8911 and 9.3055 Å, with angles of 90.00, 90.00 and 90.00 degrees. The distinct sites, in fractional coordinates, are Th at (0.0000, 0.0000, 0.0000), Ni at (0.0000, 0.5000, 0.3348), Ni at (0.5000, 0.5000, 0.0000), P at (0.5000, 0.5000, 0.2274) and Rh at (0.0000, 0.0000, 0.5000).

The calculation puts the total energy at -6.32 eV/atom. The calculation puts the energy of formation from the pure elements at -2.35 eV per formula unit. Its spin magnetization is 0.000 μB/f.u. The calculation puts the calculated volume at 15.65 A^3/atom.